[1]
Below is a relaxed structure of KCo2P, with properties calculated at the PBE-GGA level.

Summary:
ΔE_f ... 3.84 eV/f.u.

Cell lengths 6.3921, 6.3921, 6.3921 Å; angles 90.00, 90.00, 90.00 degrees
Last column: nearest neighbours and their distance in Å.
Space group F-43m (No. 216)
Inequivalent atoms, fractional coordinates:
1 K 0.0000 0.0000 0.0000 x4  4 Co 2.77, 4 P 2.77
2 Co 0.0000 0.0000 0.5000 x4  4 P 2.77, 4 Co 2.77
3 Co 0.2500 0.2500 0.2500 x4  4 K 2.77, 4 Co 2.77
4 P 0.2500 0.2500 0.7500 x4  4 K 2.77, 4 Co 2.77

***

[2]
Below is a relaxed structure of KCo2P, with properties calculated at the PBE-GGA level.

Summary:
ΔE_f ... -0.58 eV/f.u.

Cell lengths 3.9905, 3.9905, 17.7415 Å; angles 90.00, 90.00, 120.00 degrees
Last column: nearest neighbours and their distance in Å.
Space group R-3m (No. 166, hexagonal axes)
Inequivalent atoms, fractional coordinates:
1 K 0.0000 0.0000 0.0000 x3  2 Co 3.10
2 Co 0.0000 0.0000 0.1745 x6  3 P 2.31, 3 Co 2.32
3 P 0.0000 0.0000 0.5000 x3  6 Co 2.31

***

[3]
Below is a relaxed structure of K2CoP2, with properties calculated at the PBE-GGA level.

Summary:
ΔE_f ... -0.93 eV/f.u.

Cell lengths 5.9323, 5.9323, 5.4855 Å; angles 90.00, 90.00, 90.00 degrees
Last column: nearest neighbours and their distance in Å.
Space group P4/mbm (No. 127)
Inequivalent atoms, fractional coordinates:
1 K 0.1781 0.3219 0.0000 x4  5 K 2.99-3.09, 6 P 3.15-3.33
2 Co 0.0000 0.0000 0.5000 x2  4 P 2.30
3 P 0.1377 0.6377 0.5000 x4  2 Co 2.30, 1 P 2.31

***

[4]
Below is a relaxed structure of KCoP4, with properties calculated at the PBE-GGA level.

Summary:
ΔE_f ... 3.46 eV/f.u.

Cell lengths 8.3315, 8.3315, 8.3315 Å; angles 90.00, 90.00, 90.00 degrees
Last column: nearest neighbours and their distance in Å.
Space group F-43m (No. 216)
Inequivalent atoms, fractional coordinates:
1 K 0.0000 0.0000 0.0000 x4  12 P 3.56, 4 Co 3.61
2 Co 0.2500 0.2500 0.2500 x4  12 P 3.41, 4 K 3.61
3 P 0.0946 0.0946 0.5946 x16  3 P 2.23

***

[5]
Below is a relaxed structure of KCo2P, with properties calculated at the PBE-GGA level.

Summary:
ΔE_f ... 0.30 eV/f.u.

Cell lengths 3.5726, 3.5726, 6.2916 Å; angles 90.00, 90.23, 90.00 degrees
Last column: nearest neighbours and their distance in Å.
Space group Pm (No. 6)
Inequivalent atoms, fractional coordinates:
1 K 0.0000 0.0000 0.0000 x1  4 P 3.28, 4 Co 3.47-3.49, 4 K 3.57
2 Co 0.0046 0.5000 0.5253 x1  2 P 2.16
3 Co 0.5041 0.0000 0.5252 x1  2 P 2.16
4 P 0.5033 0.5000 0.3324 x1  4 Co 2.16

***

[6]
Below is a relaxed structure of KCo2P, with properties calculated at the PBE-GGA level.

Summary:
ΔE_f ... -0.54 eV/f.u.

Cell lengths 6.9097, 3.9893, 6.3557 Å; angles 90.00, 110.90, 90.00 degrees
Last column: nearest neighbours and their distance in Å.
Space group Cm (No. 8)
Inequivalent atoms, fractional coordinates:
1 K 0.0000 0.0000 0.0000 x2  1 Co 3.12, 1 P 3.20
2 Co 0.1704 0.0000 0.5252 x2  3 Co 2.31, 3 P 2.33
3 Co 0.4945 0.0000 0.4974 x2  3 Co 2.31, 3 P 2.31
4 P 0.3159 0.5000 0.4612 x2  6 Co 2.31-2.33

***

[7]
Below is a relaxed structure of KCo2P, with properties calculated at the PBE-GGA level.

Summary:
ΔE_f ... 4.13 eV/f.u.

Cell lengths 2.5831, 5.0453, 5.1702 Å; angles 90.00, 90.00, 90.00 degrees
Last column: nearest neighbours and their distance in Å.
Space group Pmmm (No. 47)
Inequivalent atoms, fractional coordinates:
1 K 0.0000 0.0000 0.0000 x1  2 K 2.58, 4 Co 2.83, 4 P 2.89
2 Co 0.0000 0.5000 0.5000 x1  6 Co 2.58-2.89, 4 P 2.83
3 Co 0.5000 0.5000 0.0000 x1  6 Co 2.58-2.89, 4 K 2.83
4 P 0.5000 0.0000 0.5000 x1  2 P 2.58, 4 Co 2.83, 4 K 2.89

***

[8]
Below is a relaxed structure of KCo2P, with properties calculated at the PBE-GGA level.

Summary:
ΔE_f ... 3.80 eV/f.u.

Cell lengths 5.8943, 9.1977, 2.5916 Å; angles 90.00, 114.89, 90.00 degrees
Last column: nearest neighbours and their distance in Å.
Space group C2/m (No. 12)
Inequivalent atoms, fractional coordinates:
1 K 0.0000 0.0000 0.0000 x2  2 K 2.59, 4 Co 2.73
2 Co 0.2500 0.2500 0.0000 x4  2 Co 2.59, 2 K 2.73, 2 P 2.73
3 P 0.0000 0.5000 0.0000 x2  2 P 2.59, 4 Co 2.73

***

[9]
Below is a relaxed structure of KCo2P, with properties calculated at the PBE-GGA level.

Summary:
ΔE_f ... 2.29 eV/f.u.

Cell lengths 2.6603, 5.6428, 9.9344 Å; angles 90.00, 90.00, 90.00 degrees
Last column: nearest neighbours and their distance in Å.
Space group Imm2 (No. 44)
Inequivalent atoms, fractional coordinates:
1 K 0.0000 0.0000 0.0000 x2  2 K 2.66
2 Co 0.0000 0.0000 0.5322 x2  2 P 2.20, 2 Co 2.37
3 Co 0.0000 0.5000 0.8347 x2  2 Co 2.37
4 P 0.0000 0.5000 0.2084 x2  2 Co 2.20

***

[10]
Below is a relaxed structure of KCoPPd, with properties calculated at the PBE-GGA level.

Summary:
ΔE_f ... -1.25 eV/f.u.

Cell lengths 3.6883, 3.6883, 12.1934 Å; angles 90.00, 90.00, 90.00 degrees
Last column: nearest neighbours and their distance in Å.
Space group P4/nmm (No. 129, origin choice 2)
Inequivalent atoms, fractional coordinates:
1 K 0.2500 0.2500 0.2296 x2  4 P 3.34, 4 Pd 3.35, 4 K 3.69
2 Co 0.2500 0.7500 0.5000 x2  4 P 2.20
3 P 0.2500 0.2500 0.5989 x2  4 Co 2.20
4 Pd 0.2500 0.7500 0.0000 x2  4 Pd 2.61

***

[11]
Below is a relaxed structure of KCoPPt, with properties calculated at the PBE-GGA level.

Summary:
ΔE_f ... -1.43 eV/f.u.

Cell lengths 3.6755, 3.6755, 12.2872 Å; angles 90.00, 90.00, 90.00 degrees
Last column: nearest neighbours and their distance in Å.
Space group P4/nmm (No. 129, origin choice 2)
Inequivalent atoms, fractional coordinates:
1 K 0.2500 0.2500 0.2290 x2  4 P 3.35, 4 Pt 3.36, 4 K 3.68
2 Co 0.2500 0.7500 0.5000 x2  4 P 2.20
3 P 0.2500 0.2500 0.5986 x2  4 Co 2.20
4 Pt 0.2500 0.7500 0.0000 x2  4 Pt 2.60

***

[12]
Below is a relaxed structure of KCoP2Ru, with properties calculated at the PBE-GGA level.

Summary:
ΔE_f ... -3.17 eV/f.u.

Cell lengths 3.8447, 3.8447, 13.1376 Å; angles 90.00, 90.00, 90.00 degrees
Last column: nearest neighbours and their distance in Å.
Space group I-4m2 (No. 119)
Inequivalent atoms, fractional coordinates:
1 K 0.0000 0.0000 0.0000 x2  8 P 3.42, 4 Co 3.81, 4 Ru 3.81
2 Co 0.0000 0.5000 0.2500 x2  4 P 2.27
3 P 0.0000 0.0000 0.3420 x4  2 Co 2.27, 2 Ru 2.27
4 Ru 0.0000 0.5000 0.7500 x2  4 P 2.27

***

[13]
Below is a relaxed structure of KCoPS2, with properties calculated at the PBE-GGA level.

Summary:
Formation energy (no corrections) ... -0.01 eV per atom
Distance to the lowest polymorph of the same formula ... 0 kJ/mol of formula units

Cell lengths 4.8662, 4.8662, 4.1867 Å; angles 90.00, 90.00, 90.00 degrees
Last column: nearest neighbours and their distance in Å.
Space group P4/mmm (No. 123)
Inequivalent atoms, fractional coordinates:
1 K 0.0000 0.0000 0.0000 x1  8 S 3.21, 4 P 3.44
2 Co 0.5000 0.5000 0.5000 x1  2 P 2.09
3 P 0.5000 0.5000 0.0000 x1  2 Co 2.09
4 S 0.0000 0.5000 0.5000 x2  2 Co 2.43

***

[14]
Below is a relaxed structure of KCoPS2, with properties calculated at the PBE-GGA level.

Summary:
Formation energy (no corrections) ... 1.97 eV per atom
Distance to the lowest polymorph of the same formula ... 956 kJ/mol of formula units

Cell lengths 5.3608, 5.3608, 5.2356 Å; angles 90.00, 90.00, 90.00 degrees
Last column: nearest neighbours and their distance in Å.
Space group P4/mmm (No. 123)
Inequivalent atoms, fractional coordinates:
1 K 0.0000 0.0000 0.0000 x1  2 P 2.62, 4 S 2.68
2 Co 0.5000 0.5000 0.5000 x1  8 S 3.75, 4 P 3.79
3 P 0.0000 0.0000 0.5000 x1  2 K 2.62
4 S 0.0000 0.5000 0.0000 x2  2 K 2.68

***

[15]
Below is a relaxed structure of K2CoPS4, with properties calculated at the PBE-GGA level.

Summary:
Formation energy (no corrections) ... -0.55 eV per atom

Cell lengths 6.2870, 14.0752, 20.1696 Å; angles 90.00, 90.00, 90.00 degrees
Last column: nearest neighbours and their distance in Å.
Space group Fddd (No. 70, origin choice 2)
Inequivalent atoms, fractional coordinates:
1 K 0.1250 0.1250 0.2893 x16  4 S 3.20-3.40, 1 Co 3.31
2 Co 0.1250 0.1250 0.1250 x8  4 S 2.17
3 P 0.1250 0.1250 0.6250 x8  4 S 2.14
4 S 0.1220 0.2798 0.8442 x32  1 P 2.14, 1 Co 2.17

***

[16]
Below is a relaxed structure of KCoP2S, with properties calculated at the PBE-GGA level.

Summary:
Formation energy (no corrections) ... 2.38 eV per atom
Distance to the lowest polymorph of the same formula ... 1114 kJ/mol of formula units

Cell lengths 5.1068, 5.1068, 5.1781 Å; angles 90.00, 90.00, 90.00 degrees
Last column: nearest neighbours and their distance in Å.
Space group P4/mmm (No. 123)
Inequivalent atoms, fractional coordinates:
1 K 0.0000 0.0000 0.0000 x1  4 P 2.55, 2 S 2.59
2 Co 0.5000 0.5000 0.5000 x1  4 S 3.61, 8 P 3.64
3 P 0.0000 0.5000 0.0000 x2  2 K 2.55
4 S 0.0000 0.0000 0.5000 x1  2 K 2.59

***

[17]
Below is a relaxed structure of KCoP2S, with properties calculated at the PBE-GGA level.

Summary:
Formation energy (no corrections) ... 0.07 eV per atom
Distance to the lowest polymorph of the same formula ... 0 kJ/mol of formula units

Cell lengths 4.3054, 4.3054, 5.3594 Å; angles 90.00, 90.00, 90.00 degrees
Last column: nearest neighbours and their distance in Å.
Space group P4/mmm (No. 123)
Inequivalent atoms, fractional coordinates:
1 K 0.0000 0.0000 0.0000 x1  4 S 3.04
2 Co 0.5000 0.5000 0.5000 x1  4 P 2.15
3 P 0.0000 0.5000 0.5000 x2  2 Co 2.15
4 S 0.5000 0.5000 0.0000 x1  2 Co 2.68

***

[18]
Below is a relaxed structure of KCoP2Se8, with properties calculated at the PBE-GGA level.

Summary:
Formation energy (no corrections) ... -0.19 eV per atom

Cell lengths 5.8752, 5.8752, 10.7343 Å; angles 90.00, 90.00, 120.00 degrees
Last column: nearest neighbours and their distance in Å.
Space group P-3 (No. 147)
Inequivalent atoms, fractional coordinates:
1 K 0.0000 0.0000 0.0000 x1  6 Se 3.54
2 Co 0.0000 0.0000 0.5000 x1  6 Se 2.38
3 P 0.3333 0.6667 0.7042 x2  4 Se 2.16-2.32
4 Se 0.0435 0.7082 0.3607 x6  1 P 2.32, 1 Co 2.38
5 Se 0.3333 0.6667 0.9055 x2  1 P 2.16

***

[19]
Below is a relaxed structure of KCo2SnP, with properties calculated at the PBE-GGA level.

Summary:
ΔE_f ... 4.81 eV/f.u.

Cell lengths 4.9289, 4.9289, 5.2872 Å; angles 90.00, 90.00, 90.00 degrees
Last column: nearest neighbours and their distance in Å.
Space group P4/mmm (No. 123)
Inequivalent atoms, fractional coordinates:
1 K 0.0000 0.0000 0.0000 x1  4 P 3.49, 8 Co 3.61
2 Co 0.0000 0.5000 0.5000 x2  2 Sn 2.46
3 Sn 0.5000 0.5000 0.5000 x1  4 Co 2.46, 2 P 2.64
4 P 0.5000 0.5000 0.0000 x1  2 Sn 2.64

***

[20]
Below is a relaxed structure of KTl2CoP, with properties calculated at the PBE-GGA level.

Summary:
ΔE_f ... 7.63 eV/f.u.

Cell lengths 6.0747, 6.0747, 5.3982 Å; angles 90.00, 90.00, 90.00 degrees
Last column: nearest neighbours and their distance in Å.
Space group P4/mmm (No. 123)
Inequivalent atoms, fractional coordinates:
1 K 0.0000 0.0000 0.0000 x1  2 P 2.70
2 Tl 0.0000 0.5000 0.0000 x2  2 K 3.04
3 Co 0.5000 0.5000 0.5000 x1  8 Tl 4.06, 4 P 4.30
4 P 0.0000 0.0000 0.5000 x1  2 K 2.70

***

[21]
Below is a relaxed structure of KPaCo2S4, with properties calculated at the PBE-GGA level.

Summary:
Formation energy (no corrections) ... -0.70 eV per atom

Cell lengths 6.2165, 6.6078, 7.5654 Å; angles 90.00, 90.00, 90.00 degrees
Last column: nearest neighbours and their distance in Å.
Space group I222 (No. 23)
Inequivalent atoms, fractional coordinates:
1 K 0.0000 0.0000 0.0000 x2  8 S 2.96-2.98
2 Pa 0.0000 0.0000 0.5000 x2  4 S 2.64
3 Co 0.0000 0.5000 0.1704 x4  4 S 2.32-2.42, 1 Co 2.58
4 S 0.2253 0.2309 0.2841 x8  2 Co 2.32-2.42

***

[22]
Below is a relaxed structure of K2Pa2CoS6, with properties calculated at the PBE-GGA level.

Summary:
Formation energy (no corrections) ... -1.28 eV per atom

Cell lengths 6.6677, 11.5380, 7.9219 Å; angles 90.00, 105.76, 90.00 degrees
Last column: nearest neighbours and their distance in Å.
Space group C2/m (No. 12)
Inequivalent atoms, fractional coordinates:
1 K 0.0000 0.1656 0.0000 x4  6 S 3.18-3.27
2 Pa 0.0000 0.3379 0.5000 x4  6 S 2.68-2.71
3 Co 0.0000 0.0000 0.5000 x2  6 S 2.54-2.63
4 S 0.2251 0.1646 0.6920 x8  1 Co 2.63, 2 Pa 2.68-2.71
5 S 0.2488 0.0000 0.3071 x4  1 Co 2.54, 2 Pa 2.69

***

[23]
Below is a relaxed structure of KPa2Co2S6, with properties calculated at the PBE-GGA level.

Summary:
Formation energy (no corrections) ... -1.12 eV per atom

Cell lengths 6.2090, 7.0288, 7.1563 Å; angles 100.46, 114.16, 109.19 degrees
Last column: nearest neighbours and their distance in Å.
Space group P-1 (No. 2)
Inequivalent atoms, fractional coordinates:
1 K 0.0000 0.0000 0.0000 x1  6 S 3.08-3.16
2 Pa 0.3452 0.6747 0.3227 x2  6 S 2.64-2.76
3 Co 0.1940 0.6168 0.6915 x2  4 S 2.25-2.28
4 S 0.1693 0.4187 0.9066 x2  1 Co 2.27
5 S 0.1903 0.3518 0.4513 x2  2 Co 2.28
6 S 0.4371 0.9402 0.7012 x2  1 Co 2.25

***

[24]
Below is a relaxed structure of KPaCoS3, with properties calculated at the PBE-GGA level.

Summary:
Formation energy (no corrections) ... -1.26 eV per atom

Cell lengths 8.9080, 3.8622, 9.0994 Å; angles 90.00, 110.41, 90.00 degrees
Last column: nearest neighbours and their distance in Å.
Space group P2_1/m (No. 11)
Inequivalent atoms, fractional coordinates:
1 K 0.2037 0.2500 0.2410 x2  7 S 3.23-3.33
2 Pa 0.3107 0.7500 0.8256 x2  6 S 2.60-2.79
3 Co 0.0845 0.2500 0.5938 x2  4 S 2.29-2.35
4 S 0.1134 0.2500 0.8537 x2  1 Co 2.29
5 S 0.1903 0.7500 0.5205 x2  3 Co 2.30-2.35
6 S 0.4582 0.7500 0.1516 x2  3 Pa 2.78-2.79

***

[25]
Below is a relaxed structure of K4Pa3CoS8, with properties calculated at the PBE-GGA level.

Summary:
Formation energy (no corrections) ... -1.29 eV per atom

Cell lengths 7.8928, 7.8928, 22.4094 Å; angles 90.00, 90.00, 120.00 degrees
Last column: nearest neighbours and their distance in Å.
Space group R-3m (No. 166, hexagonal axes)
Inequivalent atoms, fractional coordinates:
1 K 0.0000 0.0000 0.0000 x3  6 S 3.24
2 K 0.0000 0.5000 0.0000 x9  6 S 3.14-3.18
3 Pa 0.0000 0.5000 0.5000 x9  6 S 2.75-2.77
4 Co 0.0000 0.0000 0.5000 x3  6 S 2.67
5 S 0.0000 0.0000 0.2367 x6  3 Pa 2.77
6 S 0.0088 0.5044 0.2330 x18  1 Co 2.67, 2 Pa 2.75

***

Values of magnetic moment, in order: 4.0; 3.1; 0.0; 2.0; 1.7; 3.1; 3.8; 3.3; 2.9; 0.0; 0.0; 0.0; 0.8; 4.5; 0.0; 0.0; 0.0; 0.0; 3.3; 3.0; 3.5; 3.1; 3.0; 0.9; 6.0, all in μB/f.u..
Values of E, in order: -4.2196; -5.3242; -4.2096; -4.3973; -5.1040; -5.3160; -4.1475; -4.2293; -4.6077; -5.0132; -5.2702; -6.2931; -4.3865; -2.4052; -4.4495; -2.2493; -4.5577; -4.0944; -3.9817; -2.1441; -5.8652; -6.1019; -6.4922; -6.2736; -5.8539, all in eV per atom.
Values of Fermi-level density of states, in order: 1.077; 0.415; 0.552; 1.354; 1.040; 0.228; 1.386; 1.428; 1.344; 0.493; 0.580; 0.269; 1.036; 1.413; 0.281; 1.922; 0.400; 0.765; 1.381; 0.807; 0.862; 0.534; 0.662; 0.592; 1.150, all in states/eV per atom.